1.
Compound: CsCa2Ga
Source: Alexandria
Functional: GGA-PBE
Structure: optimized geometry

Results
For the electronic total energy, the calculation gives -7.739 eV/cell.

Cell: 12.5300 12.5300 12.5300 Å, 19.22 19.22 19.22°
Sites, in units of the cell vectors:
Cs (0.0000, 0.0000, 0.0000)
Ca (0.1158, 0.1158, 0.1158)
Ca (0.8842, 0.8842, 0.8842)
Ga (0.5000, 0.5000, 0.5000)

***

2.
Compound: Cs2CaGa
Source: Alexandria
Functional: GGA-PBE
Structure: optimized geometry

Results
For the electronic total energy, the calculation gives -11.858 eV/cell.

Cell: 10.4024 10.4024 10.4024 Å, 94.63 94.63 147.00°
Sites, in units of the cell vectors:
Cs (0.3750, 0.2148, 0.3398)
Cs (0.7852, 0.1250, 0.1602)
Cs (0.8750, 0.0352, 0.6602)
Cs (0.9648, 0.6250, 0.8398)
Ca (0.2500, 0.7500, 0.5000)
Ca (0.5000, 0.5000, 0.0000)
Ga (0.0000, 0.0000, 0.0000)
Ga (0.7500, 0.2500, 0.5000)

***

3.
Compound: CsCa3Ga
Source: Alexandria
Functional: GGA-PBE
Structure: optimized geometry

Results
The value obtained for the energy above the most stable polymorph in this dataset is 5.76 eV/f.u.

Cell: 5.8378 5.8378 5.8378 Å, 90.00 90.00 90.00°
Sites, in units of the cell vectors:
Cs (0.0000, 0.0000, 0.0000)
Ca (0.0000, 0.0000, 0.5000)
Ca (0.0000, 0.5000, 0.0000)
Ca (0.5000, 0.0000, 0.0000)
Ga (0.5000, 0.5000, 0.5000)

***

4.
Compound: CsCaGa2
Source: Alexandria
Functional: GGA-PBE
Structure: optimized geometry

Results
For the electronic total energy, the calculation gives -8.318 eV/cell.

Cell: 5.7011 5.7011 5.7011 Å, 60.00 60.00 60.00°
Sites, in units of the cell vectors:
Cs (0.0000, 0.0000, 0.0000)
Ca (0.5000, 0.5000, 0.5000)
Ga (0.2500, 0.2500, 0.2500)
Ga (0.7500, 0.7500, 0.7500)

***

5.
Compound: Cs3CaGa
Source: Alexandria
Functional: GGA-PBE
Structure: optimized geometry

Results
For the electronic total energy, the calculation gives -4.231 eV/cell.

Cell: 8.1639 8.1639 8.1639 Å, 90.00 90.00 90.00°
Sites, in units of the cell vectors:
Cs (0.0000, 0.0000, 0.5000)
Cs (0.0000, 0.5000, 0.0000)
Cs (0.5000, 0.0000, 0.0000)
Ca (0.0000, 0.0000, 0.0000)
Ga (0.5000, 0.5000, 0.5000)

***

6.
Compound: Cs2CaGaI5
Source: Alexandria
Functional: GGA-PBE
Structure: optimized geometry

Results
The value obtained for the formation energy (no corrections) is -1.288 eV/atom.

Cell: 11.1120 11.1120 17.0048 Å, 90.00 90.00 154.38°
Sites, in units of the cell vectors:
Cs (0.0909, 0.9091, 0.5000)
Cs (0.1369, 0.8631, 0.1462)
Cs (0.8631, 0.1369, 0.6462)
Cs (0.9091, 0.0909, 0.0000)
Ca (0.2170, 0.7830, 0.8716)
Ca (0.7830, 0.2170, 0.3716)
Ga (0.4529, 0.5471, 0.2970)
Ga (0.5471, 0.4529, 0.7970)
I (0.0774, 0.9226, 0.9130)
I (0.2680, 0.7320, 0.4961)
I (0.3103, 0.6897, 0.2518)
I (0.3570, 0.6430, 0.8322)
I (0.4991, 0.5009, 0.6218)
I (0.5009, 0.4991, 0.1218)
I (0.6430, 0.3570, 0.3322)
I (0.6897, 0.3103, 0.7518)
I (0.7320, 0.2680, 0.9961)
I (0.9226, 0.0774, 0.4130)